Be2ZnTc after structural relaxation. Source: the Alexandria database, functional PBE.

The density of states at the Fermi level comes out at 3.280 states/eV per cell. For the formation energy, the calculation gives 0.15 eV/atom. As for the size of the total moment: 0.00 μB per formula unit.

The space group is Immm (No. 71) and the conventional cell measures 2.7771, 4.2267 and 7.9977 Å, with angles of 90.00, 90.00 and 90.00 degrees. The distinct sites, in fractional coordinates, are Be at (0.0000, 0.0000, 0.2481), Zn at (0.0000, 0.5000, 0.5000) and Tc at (0.0000, 0.5000, 0.0000).


Be2ZnTc after structural relaxation. Source: the Alexandria database, functional PBE.

The density of states at the Fermi level comes out at 3.303 states/eV per cell. For the formation energy, the calculation gives 0.11 eV/atom. As for the size of the total moment: 0.00 μB per formula unit.

The space group is C2/m (No. 12) and the conventional cell measures 8.1430, 2.5412 and 4.7194 Å, with angles of 90.00, 99.34 and 90.00 degrees. The distinct sites, in fractional coordinates, are Be at (0.2496, 0.0000, 0.2088), Zn at (0.0000, 0.0000, 0.5000) and Tc at (0.0000, 0.5000, 0.0000).


Be2ZnTc after structural relaxation. Source: the Alexandria database, functional PBE.

The density of states at the Fermi level comes out at 5.038 states/eV per cell. For the formation energy, the calculation gives 0.15 eV/atom. As for the size of the total moment: 0.00 μB per formula unit.

The space group is Cmmm (No. 65) and the conventional cell measures 3.1395, 4.0805 and 7.4525 Å, with angles of 90.00, 90.00 and 90.00 degrees. The distinct sites, in fractional coordinates, are Be at (0.0000, 0.0000, 0.2408), Zn at (0.0000, 0.5000, 0.5000) and Tc at (0.0000, 0.5000, 0.0000).


Be2ZnTc after structural relaxation. Source: the Alexandria database, functional PBE.

The density of states at the Fermi level comes out at 6.360 states/eV per cell. For the formation energy, the calculation gives -0.02 eV/atom. As for the size of the total moment: 0.00 μB per formula unit.

The space group is I-4m2 (No. 119) and the conventional cell measures 3.3478, 3.3478 and 8.0419 Å, with angles of 90.00, 90.00 and 90.00 degrees. The distinct sites, in fractional coordinates, are Be at (0.0000, 0.0000, 0.0000), Be at (0.0000, 0.5000, 0.2500), Zn at (0.0000, 0.0000, 0.5000) and Tc at (0.0000, 0.5000, 0.7500).


BeZn4Tc after structural relaxation. Source: the Alexandria database, functional PBE.

The density of states at the Fermi level comes out at 17.481 states/eV per cell. For the formation energy, the calculation gives 0.34 eV/atom. As for the size of the total moment: 0.00 μB per formula unit.

The space group is F-43m (No. 216) and the conventional cell measures 6.9113, 6.9113 and 6.9113 Å, with angles of 90.00, 90.00 and 90.00 degrees. The distinct sites, in fractional coordinates, are Be at (0.0000, 0.0000, 0.0000), Zn at (0.1245, 0.1245, 0.3755) and Tc at (0.2500, 0.2500, 0.7500).


Be2ZnTc after structural relaxation. Source: the Alexandria database, functional PBE.

The density of states at the Fermi level comes out at 3.847 states/eV per cell. For the formation energy, the calculation gives -0.01 eV/atom. As for the size of the total moment: 0.00 μB per formula unit.

The space group is Cm (No. 8) and the conventional cell measures 8.8019, 2.6008 and 4.1859 Å, with angles of 90.00, 109.18 and 90.00 degrees. The distinct sites, in fractional coordinates, are Be at (0.0000, 0.0000, 0.0000), Be at (0.2153, 0.5000, 0.3253), Zn at (0.2482, 0.0000, 0.8425) and Tc at (0.4684, 0.0000, 0.4750).


Be2ZnTc2 after structural relaxation. Source: the Alexandria database, functional PBE.

The density of states at the Fermi level comes out at 11.332 states/eV per cell. For the formation energy, the calculation gives -0.16 eV/atom. The energy above the most stable polymorph in this dataset is 0.00 eV per formula unit. As for the size of the total moment: 0.00 μB per formula unit.

The space group is P4/mbm (No. 127) and the conventional cell measures 5.9856, 5.9856 and 3.1917 Å, with angles of 90.00, 90.00 and 90.00 degrees. The distinct sites, in fractional coordinates, are Be at (0.1203, 0.3797, 0.0000), Zn at (0.0000, 0.0000, 0.0000) and Tc at (0.1743, 0.6743, 0.5000).


Be2ZnTc after structural relaxation. Source: the Alexandria database, functional PBE.

The density of states at the Fermi level comes out at 1.250 states/eV per cell. For the formation energy, the calculation gives -0.01 eV/atom. As for the size of the total moment: 0.00 μB per formula unit.

The space group is Pm (No. 6) and the conventional cell measures 2.5981, 3.8195 and 4.7402 Å, with angles of 90.00, 105.65 and 90.00 degrees. The distinct sites, in fractional coordinates, are Be at (0.0000, 0.0000, 0.0000), Be at (0.1330, 0.5000, 0.2767), Zn at (0.3962, 0.5000, 0.7999) and Tc at (0.7274, 0.0000, 0.4667).


Be2ZnTc after structural relaxation. Source: the Alexandria database, functional PBE.

The density of states at the Fermi level comes out at 2.337 states/eV per cell. For the formation energy, the calculation gives 0.02 eV/atom. As for the size of the total moment: 0.00 μB per formula unit.

The space group is P4/mmm (No. 123) and the conventional cell measures 2.9539, 2.9539 and 5.3503 Å, with angles of 90.00, 90.00 and 90.00 degrees. The distinct sites, in fractional coordinates, are Be at (0.0000, 0.0000, 0.2129), Zn at (0.5000, 0.5000, 0.5000) and Tc at (0.5000, 0.5000, 0.0000).


BeZnTc after structural relaxation. Source: the Alexandria database, functional PBE.

The density of states at the Fermi level comes out at 7.290 states/eV per cell. For the formation energy, the calculation gives 0.81 eV/atom. The energy above the most stable polymorph in this dataset is 2.22 eV per formula unit. As for the size of the total moment: 1.30 μB per formula unit.

The space group is F-43m (No. 216) and the conventional cell measures 5.7043, 5.7043 and 5.7043 Å, with angles of 90.00, 90.00 and 90.00 degrees. The distinct sites, in fractional coordinates, are Be at (0.0000, 0.0000, 0.0000), Zn at (0.0000, 0.0000, 0.5000) and Tc at (0.2500, 0.2500, 0.7500).


Be2ZnTc after structural relaxation. Source: the Alexandria database, functional PBE.

The density of states at the Fermi level comes out at 3.096 states/eV per cell. For the formation energy, the calculation gives 0.11 eV/atom. As for the size of the total moment: 0.25 μB per formula unit.

The space group is P4mm (No. 99) and the conventional cell measures 2.7472, 2.7472 and 5.9951 Å, with angles of 90.00, 90.00 and 90.00 degrees. The distinct sites, in fractional coordinates, are Be at (0.0000, 0.0000, 0.0000), Be at (0.5000, 0.5000, 0.1802), Zn at (0.5000, 0.5000, 0.7439) and Tc at (0.0000, 0.0000, 0.4196).


BeZnTc after structural relaxation. Source: the Alexandria database, functional PBE.

The density of states at the Fermi level comes out at 9.288 states/eV per cell. For the formation energy, the calculation gives 0.16 eV/atom. The energy above the most stable polymorph in this dataset is 0.29 eV per formula unit. As for the size of the total moment: 0.00 μB per formula unit.

The space group is Fmm2 (No. 42) and the conventional cell measures 3.0836, 4.1982 and 11.8368 Å, with angles of 90.00, 90.00 and 90.00 degrees. The distinct sites, in fractional coordinates, are Be at (0.0000, 0.0000, 0.0000), Zn at (0.0000, 0.0000, 0.3395) and Tc at (0.0000, 0.0000, 0.6521).


What is the size of the total moment in the twelfth record?
0.00 μB per formula unit